Entry 1:
A relaxed structure of TiH4Ru. Source: the Alexandria database, functional PBE-GGA.

```
data_TiH4Ru
_chemical_formula_sum 'Ti4 H16 Ru4'
_space_group_name_H-M_alt 'C m c m'
_space_group_IT_number 63
_space_group_name_Hall '-C 2c 2'
_cell_length_a 3.066
_cell_length_b 13.459
_cell_length_c 4.366
_cell_angle_alpha 90.00
_cell_angle_beta 90.00
_cell_angle_gamma 90.00
loop_
_atom_site_label
_atom_site_type_symbol
_atom_site_fract_x
_atom_site_fract_y
_atom_site_fract_z
_atom_site_occupancy
Ti1 Ti 0.000 0.179 0.250 1
H1 H 0.000 0.041 0.750 1
H2 H 0.000 0.300 0.501 1
H3 H 0.000 0.500 0.000 1
Ru1 Ru 0.000 0.403 0.250 1
```

Properties
* crystal system: orthorhombic
* energy above the lowest structure with this stoichiometry: 62.0 meV per atom

---

Entry 2:
A relaxed structure of TiH2Ru2. Source: the Alexandria database, functional PBE-GGA.

```
data_TiH2Ru2
_chemical_formula_sum 'Ti2 H4 Ru4'
_space_group_name_H-M_alt 'I 4/m m m'
_space_group_IT_number 139
_space_group_name_Hall '-I 4 2'
_cell_length_a 3.062
_cell_length_b 3.062
_cell_length_c 10.594
_cell_angle_alpha 90.00
_cell_angle_beta 90.00
_cell_angle_gamma 90.00
loop_
_atom_site_label
_atom_site_type_symbol
_atom_site_fract_x
_atom_site_fract_y
_atom_site_fract_z
_atom_site_occupancy
Ti1 Ti 0.000 0.000 0.000 1
H1 H 0.000 0.500 0.250 1
Ru1 Ru 0.000 0.000 0.358 1
```

Properties
* crystal system: tetragonal
* energy above the lowest structure with this stoichiometry: 0.0 meV per atom

---

Entry 3:
A relaxed structure of TiHRu. Source: the Alexandria database, functional PBE-GGA.

```
data_TiHRu
_chemical_formula_sum 'Ti2 H2 Ru2'
_space_group_name_H-M_alt 'P m n 21'
_space_group_IT_number 31
_cell_length_a 2.990
_cell_length_b 4.556
_cell_length_c 4.781
_cell_angle_alpha 90.00
_cell_angle_beta 90.00
_cell_angle_gamma 90.00
loop_
_space_group_symop_operation_xyz
'x,y,z'
'-x+1/2,-y,z+1/2'
'-x,y,z'
'x+1/2,-y,z+1/2'
loop_
_atom_site_label
_atom_site_type_symbol
_atom_site_fract_x
_atom_site_fract_y
_atom_site_fract_z
_atom_site_occupancy
Ti1 Ti 0.000 0.114 0.000 1
H1 H 0.000 0.714 0.773 1
Ru1 Ru 0.000 0.376 0.506 1
```

Properties
* electronic total energy: -7.11 eV per atom
* crystal system: orthorhombic

---

Entry 4:
A relaxed structure of TiHRu3. Source: the Alexandria database, functional PBE-GGA.

```
data_TiHRu3
_chemical_formula_sum 'Ti1 H1 Ru3'
_space_group_name_H-M_alt 'P m -3 m'
_space_group_IT_number 221
_space_group_name_Hall '-P 4 2 3'
_cell_length_a 3.904
_cell_length_b 3.904
_cell_length_c 3.904
_cell_angle_alpha 90.00
_cell_angle_beta 90.00
_cell_angle_gamma 90.00
loop_
_atom_site_label
_atom_site_type_symbol
_atom_site_fract_x
_atom_site_fract_y
_atom_site_fract_z
_atom_site_occupancy
Ti1 Ti 0.000 0.000 0.000 1
H1 H 0.500 0.500 0.500 1
Ru1 Ru 0.000 0.500 0.500 1
```

Properties
* crystal system: cubic
* energy above the lowest structure with this stoichiometry: 13.3 meV per atom

---

Entry 5:
A relaxed structure of TiH3Ru. Source: the Alexandria database, functional PBE-GGA.

```
data_TiH3Ru
_chemical_formula_sum 'Ti1 H3 Ru1'
_space_group_name_H-M_alt 'P m -3 m'
_space_group_IT_number 221
_space_group_name_Hall '-P 4 2 3'
_cell_length_a 3.430
_cell_length_b 3.430
_cell_length_c 3.430
_cell_angle_alpha 90.00
_cell_angle_beta 90.00
_cell_angle_gamma 90.00
loop_
_atom_site_label
_atom_site_type_symbol
_atom_site_fract_x
_atom_site_fract_y
_atom_site_fract_z
_atom_site_occupancy
Ti1 Ti 0.000 0.000 0.000 1
H1 H 0.000 0.000 0.500 1
Ru1 Ru 0.500 0.500 0.500 1
```

Properties
* electronic total energy: -5.20 eV per atom
* crystal system: cubic

---

Entry 6:
A relaxed structure of TiH4Ru. Source: the Alexandria database, functional PBE-GGA.

```
data_TiH4Ru
_chemical_formula_sum 'Ti4 H16 Ru4'
_space_group_name_H-M_alt 'I 41/a m d'
_space_group_IT_number 141
_cell_length_a 4.324
_cell_length_b 4.324
_cell_length_c 8.822
_cell_angle_alpha 90.00
_cell_angle_beta 90.00
_cell_angle_gamma 90.00
loop_
_space_group_symop_operation_xyz
'x,y,z'
'-x,-y,-z'
'-y+1/4,x+3/4,z+1/4'
'y+1/4,-x+3/4,-z+1/4'
'-x+1/2,-y,z+1/2'
'x+1/2,y,-z+1/2'
'y+1/4,-x+1/4,z+3/4'
'-y+1/4,x+1/4,-z+3/4'
'x,-y,-z'
'-x,y,z'
'-y+1/4,-x+1/4,-z+3/4'
'y+1/4,x+1/4,z+3/4'
'-x+1/2,y,-z+1/2'
'x+1/2,-y,z+1/2'
'y+1/4,x+3/4,-z+1/4'
'-y+1/4,-x+3/4,z+1/4'
'x+1/2,y+1/2,z+1/2'
'-x+1/2,-y+1/2,-z+1/2'
'-y+3/4,x+1/4,z+3/4'
'y+3/4,-x+1/4,-z+3/4'
'-x,-y+1/2,z'
'x,y+1/2,-z'
'y+3/4,-x+3/4,z+1/4'
'-y+3/4,x+3/4,-z+1/4'
'x+1/2,-y+1/2,-z+1/2'
'-x+1/2,y+1/2,z+1/2'
'-y+3/4,-x+3/4,-z+1/4'
'y+3/4,x+3/4,z+1/4'
'-x,y+1/2,-z'
'x,-y+1/2,z'
'y+3/4,x+1/4,-z+3/4'
'-y+3/4,-x+1/4,z+3/4'
loop_
_atom_site_label
_atom_site_type_symbol
_atom_site_fract_x
_atom_site_fract_y
_atom_site_fract_z
_atom_site_occupancy
Ti1 Ti 0.000 0.250 0.375 1
H1 H 0.240 0.000 0.000 1
Ru1 Ru 0.000 0.250 0.875 1
```

Properties
* crystal system: tetragonal
* energy above the lowest structure with this stoichiometry: 0.0 meV per atom

---

Entry 7:
A relaxed structure of TiH3Ru. Source: the Alexandria database, functional PBE-GGA.

```
data_TiH3Ru
_chemical_formula_sum 'Ti1 H3 Ru1'
_space_group_name_H-M_alt 'P m -3 m'
_space_group_IT_number 221
_space_group_name_Hall '-P 4 2 3'
_cell_length_a 3.445
_cell_length_b 3.445
_cell_length_c 3.445
_cell_angle_alpha 90.00
_cell_angle_beta 90.00
_cell_angle_gamma 90.00
loop_
_atom_site_label
_atom_site_type_symbol
_atom_site_fract_x
_atom_site_fract_y
_atom_site_fract_z
_atom_site_occupancy
Ti1 Ti 0.000 0.000 0.000 1
H1 H 0.000 0.500 0.500 1
Ru1 Ru 0.500 0.500 0.500 1
```

Properties
* electronic total energy: -5.54 eV per atom
* crystal system: cubic

---

Entry 8:
A relaxed structure of TiHRu3. Source: the Alexandria database, functional PBE-GGA.

```
data_TiHRu3
_chemical_formula_sum 'Ti1 H1 Ru3'
_space_group_name_H-M_alt 'P m -3 m'
_space_group_IT_number 221
_space_group_name_Hall '-P 4 2 3'
_cell_length_a 4.552
_cell_length_b 4.552
_cell_length_c 4.552
_cell_angle_alpha 90.00
_cell_angle_beta 90.00
_cell_angle_gamma 90.00
loop_
_atom_site_label
_atom_site_type_symbol
_atom_site_fract_x
_atom_site_fract_y
_atom_site_fract_z
_atom_site_occupancy
Ti1 Ti 0.000 0.000 0.000 1
H1 H 0.500 0.500 0.500 1
Ru1 Ru 0.000 0.000 0.500 1
```

Properties
* crystal system: cubic
* energy above the lowest structure with this stoichiometry: 2117.6 meV per atom

---

Entry 9:
A relaxed structure of TiH2Ru2. Source: the Alexandria database, functional PBE-GGA.

```
data_TiH2Ru2
_chemical_formula_sum 'Ti2 H4 Ru4'
_space_group_name_H-M_alt 'P 4/m b m'
_space_group_IT_number 127
_space_group_name_Hall '-P 4 2ab'
_cell_length_a 5.688
_cell_length_b 5.688
_cell_length_c 3.148
_cell_angle_alpha 90.00
_cell_angle_beta 90.00
_cell_angle_gamma 90.00
loop_
_atom_site_label
_atom_site_type_symbol
_atom_site_fract_x
_atom_site_fract_y
_atom_site_fract_z
_atom_site_occupancy
Ti1 Ti 0.000 0.000 0.000 1
H1 H 0.224 0.276 0.000 1
Ru1 Ru 0.166 0.666 0.500 1
```

Properties
* crystal system: tetragonal
* energy above the lowest structure with this stoichiometry: 88.9 meV per atom

---

Entry 10:
A relaxed structure of Ti3H12Ru5. Source: the Alexandria database, functional PBE-GGA.

```
data_Ti3H12Ru5
_chemical_formula_sum 'Ti24 H96 Ru40'
_space_group_name_H-M_alt 'I a -3 d'
_space_group_IT_number 230
_space_group_name_Hall '-I 4bd 2c 3'
_cell_length_a 10.739
_cell_length_b 10.739
_cell_length_c 10.739
_cell_angle_alpha 90.00
_cell_angle_beta 90.00
_cell_angle_gamma 90.00
loop_
_atom_site_label
_atom_site_type_symbol
_atom_site_fract_x
_atom_site_fract_y
_atom_site_fract_z
_atom_site_occupancy
Ti1 Ti 0.000 0.250 0.125 1
H1 H 0.018 0.069 0.650 1
Ru1 Ru 0.000 0.000 0.000 1
Ru2 Ru 0.000 0.250 0.375 1
```

Properties
* electronic total energy: -5.62 eV per atom
* crystal system: cubic

---

Entry 11:
A relaxed structure of Ti3HRu. Source: the Alexandria database, functional PBE-GGA.

```
data_Ti3HRu
_chemical_formula_sum 'Ti3 H1 Ru1'
_space_group_name_H-M_alt 'P m -3 m'
_space_group_IT_number 221
_space_group_name_Hall '-P 4 2 3'
_cell_length_a 4.722
_cell_length_b 4.722
_cell_length_c 4.722
_cell_angle_alpha 90.00
_cell_angle_beta 90.00
_cell_angle_gamma 90.00
loop_
_atom_site_label
_atom_site_type_symbol
_atom_site_fract_x
_atom_site_fract_y
_atom_site_fract_z
_atom_site_occupancy
Ti1 Ti 0.000 0.000 0.500 1
H1 H 0.500 0.500 0.500 1
Ru1 Ru 0.000 0.000 0.000 1
```

Properties
* crystal system: cubic
* energy above the lowest structure with this stoichiometry: 1213.3 meV per atom

---

The calculation returns the following Fermi-level density of states values, one per record and in order: 0.2694, 0.4065, 0.6508, 1.8254, 0.3625, 0.5148, 0.5337, 1.1406, 0.4044, 0.5813, 0.7615 states/eV per atom.